## Co5Os (meta-GGA SCAN)

Data for Co5Os at its PBEsol-relaxed geometry.

Cell: 4.708 4.708 5.881 Å, 103.91 103.91 31.22°
Positions (direct):
Co1 0.000 0.000 0.000
Co2 0.054 0.054 0.600
Co3 0.336 0.336 0.658
Co4 0.393 0.393 0.279
Co5 0.670 0.670 0.334
Os1 0.722 0.722 0.940

Its density of states at the Fermi level is 5.4 states/eV/f.u. For the theoretical density, the calculation gives 12.3 g cm⁻³. The value obtained for the magnetic moment is 8.64 μB/cell. The calculation puts the formation energy at 0.160 eV/atom.